DFT (PBE) results for a geometry-optimized Ba3Cd2Pb structure.

The structure in POSCAR format:
```
Ba3Cd2Pb
1.0
-2.1451 -3.6542 -0.2051
5.2088 -3.0930 0.6288
-3.6403 1.6455 8.7548
Ba Cd Pb
3 2 1
Cartesian
1.5319 -3.3736 0.2118 Ba
0.8387 -3.3073 6.2804 Ba
-1.4153 -1.7943 2.8980 Ba
-0.6848 0.0655 5.9954 Cd
2.2533 -1.5129 3.3881 Cd
0.0000 0.0000 0.0000 Pb
```

ρ = 5.9 g/cm³
Formation enthalpy at 0 K = -0.40 eV per atom
N(E_F) = 0.80 states/eV/atom
V = 235.9 Å³ per cell

***

DFT (PBE) results for a geometry-optimized Tb2YErMg structure.

The structure in POSCAR format:
```
Tb2YErMg
1.0
-5.2672 0.7307 -1.6171
0.4828 -4.8202 -3.7505
-2.4856 -7.8598 4.5448
Er Tb Y Mg
2 4 2 2
Cartesian
-0.9176 -3.8435 -3.5237 Er
-6.3524 -8.1059 2.7009 Er
-1.6917 -2.6024 -0.4416 Tb
-4.4640 -7.2965 -3.0844 Tb
-2.8060 -4.6528 2.2616 Tb
-5.5783 -9.3470 -0.3812 Tb
-5.2934 -5.9461 0.2273 Y
-1.9766 -6.0033 -1.0501 Y
-3.1042 -8.1492 1.6531 Mg
-4.1657 -3.8002 -2.4760 Mg
```

ρ = 6.6 g/cm³
Formation enthalpy at 0 K = 0.01 eV per atom
N(E_F) = 1.32 states/eV/atom
V = 301.4 Å³ per cell

***

DFT (PBE) results for a geometry-optimized Pm2In2Hg5 structure.

The structure in POSCAR format:
```
Pm2In2Hg5
1.0
-0.4251 -7.2282 0.7104
5.4379 0.1861 5.1484
-8.6479 4.5162 3.5215
Hg Pm In
10 4 4
Cartesian
0.2001 -5.8490 2.2689 Hg
-1.0562 1.7673 4.9476 Hg
-2.1940 0.3414 1.8494 Hg
-4.3562 2.1864 6.7909 Hg
-4.1292 -4.3461 2.9651 Hg
0.3088 -3.2400 4.7847 Hg
2.9850 -4.6347 4.7329 Hg
-7.0092 3.2145 4.1065 Hg
-4.3987 0.6987 4.1651 Hg
-1.8959 -2.8828 7.1004 Hg
1.4270 -0.2468 4.1615 Pm
-1.4381 -2.8250 1.8316 Pm
-4.8522 -2.2718 5.4176 Pm
-1.9871 0.3064 7.7475 Pm
-1.8680 -1.0736 4.6130 In
0.8284 -1.3633 7.2248 In
4.7229 0.1617 4.4715 In
1.7914 -3.5455 2.2525 In
```

ρ = 10.4 g/cm³
Formation enthalpy at 0 K = -0.20 eV per atom
N(E_F) = 0.43 states/eV/atom
V = 488.4 Å³ per cell